This record from Alexandria describes a relaxed structure of Sc2CdSbC. The functional is GGA-PBEsol.

a b c (Å): 4.4035 4.5554 4.5554
angles (deg): 90.00 90.00 90.00
Sites, in units of the cell vectors:
Sb 0.5000 0.5000 0.5000
C 0.0000 0.0000 0.0000
Sc 0.0000 0.0000 0.5000
Sc 0.0000 0.5000 0.0000
Cd 0.5000 0.0000 0.0000

## Properties
- calculated total energy (eV per atom) = -6.143
- space-group type = No. 123
- size of the total moment (μB per cell) = 0.000
- volume (Å³/cell) = 91
- formation energy (no corrections) (meV per atom) = -422
- density of states at the Fermi level (states/eV/cell) = 1.6

This record from Alexandria describes a relaxed structure of Li3As. The functional is GGA-PBEsol.

a b c (Å): 3.0034 3.0034 9.1879
angles (deg): 90.00 90.00 120.00
Sites, in units of the cell vectors:
Li 0.3333 0.6667 0.2124
Li 0.0000 0.0000 0.5000
Li 0.3333 0.6667 0.7876
As 0.0000 0.0000 0.0000

## Properties
- calculated total energy (eV per atom) = -2.982
- space-group type = No. 187
- size of the total moment (μB per cell) = 0.000
- volume (Å³/cell) = 72
- density of states at the Fermi level (states/eV/cell) = 1.3

This record from Alexandria describes a relaxed structure of YAuSe2. The functional is GGA-PBEsol.

a b c (Å): 4.2316 4.2316 7.0646
angles (deg): 72.57 72.57 60.00
Sites, in units of the cell vectors:
Y 0.5054 0.5054 0.4837
Se 0.7701 0.7701 0.6896
Se 0.9571 0.9571 0.1287
Au 0.2673 0.2673 0.1980

## Properties
- calculated total energy (eV per atom) = -5.568
- space-group type = No. 160
- size of the total moment (μB per cell) = 0.000
- volume (Å³/cell) = 103
- formation energy (no corrections) (meV per atom) = -956
- density of states at the Fermi level (states/eV/cell) = 0.2

Question: size of the total moment of number 3 (YAuSe2)?
Answer: 0.000 μB per cell